(1)
# PBE LiCr2Au2, optimized geometry
# total DFT energy (no corrections) = -53.130 eV for the cell shown
# DFT formation energy = 0.230 eV per atom
# total magnetic moment = 0.0 Bohr magnetons per cell
# polymorph energy (0 for the lowest one) = 18.5 kJ/mol of formula units
data_LiCr2Au2
_cell_length_a 7.7554
_cell_length_b 7.7554
_cell_length_c 2.7362
_cell_angle_alpha 90.00
_cell_angle_beta 90.00
_cell_angle_gamma 90.00
_space_group_name_H-M_alt 'P 1'
_space_group_IT_number 1
loop_
_space_group_symop_operation_xyz
'x,y,z'
loop_
_atom_site_label
_atom_site_type_symbol
_atom_site_fract_x
_atom_site_fract_y
_atom_site_fract_z
Li1 Li 0.0000 0.0000 0.0000
Cr1 Cr 0.0868 0.5868 0.5000
Au1 Au 0.7971 0.7029 0.0000
Au2 Au 0.7029 0.2029 0.0000
Cr2 Cr 0.5868 0.9132 0.5000
Li2 Li 0.5000 0.5000 0.0000
Au3 Au 0.2971 0.7971 0.0000
Cr3 Cr 0.4132 0.0868 0.5000
Cr4 Cr 0.9132 0.4132 0.5000
Au4 Au 0.2029 0.2971 0.0000

---

(2)
# PBE La6Co3H, optimized geometry
# total DFT energy (no corrections) = -111.554 eV for the cell shown
# total magnetic moment = 0.0 Bohr magnetons per cell
data_La6Co3H
_cell_length_a 6.7646
_cell_length_b 7.2298
_cell_length_c 10.2128
_cell_angle_alpha 90.00
_cell_angle_beta 91.62
_cell_angle_gamma 90.00
_space_group_name_H-M_alt 'P 1'
_space_group_IT_number 1
loop_
_space_group_symop_operation_xyz
'x,y,z'
loop_
_atom_site_label
_atom_site_type_symbol
_atom_site_fract_x
_atom_site_fract_y
_atom_site_fract_z
Co1 Co 0.9597 0.3861 0.7704
La1 La 0.8470 0.9309 0.2447
La2 La 0.3277 0.8289 0.4289
La3 La 0.8277 0.6711 0.9289
Co2 Co 0.0000 0.0000 0.5000
La4 La 0.3470 0.5691 0.7447
La5 La 0.3268 0.8275 0.0768
La6 La 0.6732 0.1725 0.9232
La7 La 0.1530 0.0691 0.7553
La8 La 0.1732 0.3275 0.4232
La9 La 0.8268 0.6725 0.5768
Co3 Co 0.4597 0.1139 0.2704
H1 H 0.5000 0.5000 0.5000
Co4 Co 0.0403 0.6139 0.2296
La10 La 0.6530 0.4309 0.2553
Co5 Co 0.5000 0.5000 0.0000
H2 H 0.0000 0.0000 0.0000
Co6 Co 0.5403 0.8861 0.7296
La11 La 0.6723 0.1711 0.5711
La12 La 0.1723 0.3289 0.0711